First-principles (PBE) data for a relaxed structure of Mn2ZnRh, as listed in Alexandria via LeMat-Bulk.

The structure in extended XYZ format:
```
16
Lattice="16.989 0.000 0.000 0.000 2.746 0.000 0.000 0.000 4.500" Properties=species:S:1:pos:R:3 pbc="T T T"
Zn 4.266 0.000 3.591
Mn 15.044 0.000 0.673
Mn 0.000 1.373 4.499
Zn 12.723 0.000 3.591
Zn 12.760 1.373 1.341
Zn 4.229 1.373 1.341
Rh 6.419 0.000 0.662
Rh 2.075 1.373 2.912
Mn 1.945 0.000 0.673
Mn 8.494 1.373 0.001
Mn 6.550 1.373 2.923
Rh 10.570 0.000 0.662
Mn 0.000 0.000 2.251
Mn 10.439 1.373 2.923
Rh 14.913 1.373 2.912
Mn 8.494 0.000 2.249
```

* ΔE_f: -0.09 eV per atom
* size of the total moment: 0.28 μB/atom
* DOS at the Fermi energy: 0.7464 states/eV per atom
* SG: No. 44
* VASP energy: -109.22 eV/cell